(1)
The following is a DFT calculation (PBE) of a relaxed structure of YCu2Cl.

```
data_YCu2Cl
_chemical_formula_sum 'Y1 Cu2 Cl1'
_space_group_name_H-M_alt 'P 1'
_space_group_IT_number 1
_cell_length_a 7.661
_cell_length_b 7.661
_cell_length_c 7.661
_cell_angle_alpha 27.60
_cell_angle_beta 27.60
_cell_angle_gamma 27.60
loop_
_space_group_symop_operation_xyz
'x,y,z'
loop_
_atom_site_label
_atom_site_fract_x
_atom_site_fract_y
_atom_site_fract_z
_atom_site_occupancy
Y1 0.250 0.250 0.250 1
Cu1 0.006 0.006 0.006 1
Cu2 0.494 0.494 0.494 1
Cl1 0.750 0.750 0.750 1
```

Properties
As for the raw formation energy: -0.095 eV/atom. Its polymorph energy (0 for the lowest one) is 175 kJ/mol of formula units.

=====

(2)
The following is a DFT calculation (PBE) of a relaxed structure of YCuCl2.

```
data_YCuCl2
_chemical_formula_sum 'Y1 Cu1 Cl2'
_space_group_name_H-M_alt 'P 1'
_space_group_IT_number 1
_cell_length_a 3.500
_cell_length_b 3.500
_cell_length_c 10.886
_cell_angle_alpha 90.00
_cell_angle_beta 90.00
_cell_angle_gamma 116.92
loop_
_space_group_symop_operation_xyz
'x,y,z'
loop_
_atom_site_label
_atom_site_fract_x
_atom_site_fract_y
_atom_site_fract_z
_atom_site_occupancy
Y1 0.500 0.500 0.750 1
Cu1 0.500 0.500 0.250 1
Cl1 0.000 0.000 0.928 1
Cl2 0.000 0.000 0.572 1
```

Properties
As for the raw formation energy: -0.675 eV/atom. Its polymorph energy (0 for the lowest one) is 167 kJ/mol of formula units.